A plane-wave DFT calculation with PBE-GGA was carried out for DySnBi2 after structural relaxation.

Calculated values
energy relative to the elements	0.16	eV per atom
total magnetization	0.0	μB/f.u.
space group	R-3m, No. 166
crystal system	trigonal

Lattice parameters (Å, degrees): 4.734 4.734 9.281 75.22 75.22 60.00
Fractional coordinates of all 4 atoms:
Bi (0.109, 0.109, 0.674)
Bi (0.891, 0.891, 0.326)
Sn (0.000, 0.000, 0.000)
Dy (0.500, 0.500, 0.500)

***

A plane-wave DFT calculation with PBE-GGA was carried out for MgTcSb2 after structural relaxation.

Calculated values
total magnetization	0.1	μB/f.u.
space group	Cmmm, No. 65
crystal system	orthorhombic

Lattice parameters (Å, degrees): 4.835 4.835 3.489 90.00 90.00 100.26
Fractional coordinates of all 4 atoms:
Mg (0.000, 0.500, 0.500)
Sb (0.000, 0.000, 0.000)
Sb (0.500, 0.500, 0.000)
Tc (0.500, 0.000, 0.500)

***

Number 1: energy relative to the lowest polymorph listed for this composition 2.028 eV per formula unit. Number 2: energy relative to the lowest polymorph listed for this composition 0.990 eV per formula unit.